Run i
# BaMoAs2, relaxed, DFT GGA-PBE
# total magnetization = 0.606 μB/atom
# space group = F-43m
data_BaMoAs2
_chemical_formula_sum 'Ba1 Mo1 As2'
_symmetry_space_group_name_H-M 'P 1'
_symmetry_Int_Tables_number 1
_cell_length_a 5.087
_cell_length_b 5.087
_cell_length_c 5.087
_cell_angle_alpha 60.00
_cell_angle_beta 60.00
_cell_angle_gamma 60.00
loop_
_symmetry_equiv_pos_as_xyz
'x,y,z'
loop_
_atom_site_label
_atom_site_type_symbol
_atom_site_fract_x
_atom_site_fract_y
_atom_site_fract_z
Ba1 Ba 0.000 0.000 0.000
Mo1 Mo 0.750 0.750 0.750
As1 As 0.250 0.250 0.250
As2 As 0.500 0.500 0.500


Run ii
# BaMoAs2, relaxed, DFT GGA-PBE
# total magnetization = 0.000 μB/atom
# space group = R3m
data_BaMoAs2
_chemical_formula_sum 'Ba1 Mo1 As2'
_symmetry_space_group_name_H-M 'P 1'
_symmetry_Int_Tables_number 1
_cell_length_a 9.646
_cell_length_b 9.646
_cell_length_c 9.646
_cell_angle_alpha 19.98
_cell_angle_beta 19.98
_cell_angle_gamma 19.98
loop_
_symmetry_equiv_pos_as_xyz
'x,y,z'
loop_
_atom_site_label
_atom_site_type_symbol
_atom_site_fract_x
_atom_site_fract_y
_atom_site_fract_z
Ba1 Ba 0.000 0.000 0.000
Mo1 Mo 0.770 0.770 0.770
As1 As 0.235 0.235 0.235
As2 As 0.494 0.494 0.494


Run iii
# BaMoAs2, relaxed, DFT GGA-PBE
# total magnetization = 0.453 μB/atom
# space group = Fm-3m
data_BaMoAs2
_chemical_formula_sum 'Ba1 Mo1 As2'
_symmetry_space_group_name_H-M 'P 1'
_symmetry_Int_Tables_number 1
_cell_length_a 5.042
_cell_length_b 5.042
_cell_length_c 5.042
_cell_angle_alpha 60.00
_cell_angle_beta 60.00
_cell_angle_gamma 60.00
loop_
_symmetry_equiv_pos_as_xyz
'x,y,z'
loop_
_atom_site_label
_atom_site_type_symbol
_atom_site_fract_x
_atom_site_fract_y
_atom_site_fract_z
Ba1 Ba 0.000 0.000 0.000
Mo1 Mo 0.500 0.500 0.500
As1 As 0.250 0.250 0.250
As2 As 0.750 0.750 0.750


Most stable structure, least stable structure: run iii, run i.


Run i
# BaMoAsSe2, relaxed, DFT GGA-PBE
# total magnetization = 0.079 μB/atom
# space group = P4/mmm
data_BaMoAsSe2
_chemical_formula_sum 'Ba1 Mo1 As1 Se2'
_symmetry_space_group_name_H-M 'P 1'
_symmetry_Int_Tables_number 1
_cell_length_a 5.166
_cell_length_b 5.166
_cell_length_c 4.875
_cell_angle_alpha 90.00
_cell_angle_beta 90.00
_cell_angle_gamma 90.00
loop_
_symmetry_equiv_pos_as_xyz
'x,y,z'
loop_
_atom_site_label
_atom_site_type_symbol
_atom_site_fract_x
_atom_site_fract_y
_atom_site_fract_z
Ba1 Ba 0.000 0.000 0.000
Mo1 Mo 0.500 0.500 0.500
As1 As 0.500 0.500 0.000
Se1 Se 0.000 0.500 0.500
Se2 Se 0.500 0.000 0.500


Run ii
# BaMoAsSe2, relaxed, DFT GGA-PBE
# total magnetization = 0.010 μB/atom
# space group = P4/mmm
data_BaMoAsSe2
_chemical_formula_sum 'Ba1 Mo1 As1 Se2'
_symmetry_space_group_name_H-M 'P 1'
_symmetry_Int_Tables_number 1
_cell_length_a 5.773
_cell_length_b 5.773
_cell_length_c 5.618
_cell_angle_alpha 90.00
_cell_angle_beta 90.00
_cell_angle_gamma 90.00
loop_
_symmetry_equiv_pos_as_xyz
'x,y,z'
loop_
_atom_site_label
_atom_site_type_symbol
_atom_site_fract_x
_atom_site_fract_y
_atom_site_fract_z
Ba1 Ba 0.000 0.000 0.000
Mo1 Mo 0.500 0.500 0.500
As1 As 0.000 0.000 0.500
Se1 Se 0.000 0.500 0.000
Se2 Se 0.500 0.000 0.000


Most stable structure, least stable structure: run i, run ii.


Run i
# BaMoAs2Se, relaxed, DFT GGA-PBE
# total magnetization = 0.000 μB/atom
# space group = P4/mmm
data_BaMoAs2Se
_chemical_formula_sum 'Ba1 Mo1 As2 Se1'
_symmetry_space_group_name_H-M 'P 1'
_symmetry_Int_Tables_number 1
_cell_length_a 4.882
_cell_length_b 4.882
_cell_length_c 5.465
_cell_angle_alpha 90.00
_cell_angle_beta 90.00
_cell_angle_gamma 90.00
loop_
_symmetry_equiv_pos_as_xyz
'x,y,z'
loop_
_atom_site_label
_atom_site_type_symbol
_atom_site_fract_x
_atom_site_fract_y
_atom_site_fract_z
Ba1 Ba 0.000 0.000 0.000
Mo1 Mo 0.500 0.500 0.500
As1 As 0.000 0.500 0.500
As2 As 0.500 0.000 0.500
Se1 Se 0.500 0.500 0.000


Run ii
# BaMoAs2Se, relaxed, DFT GGA-PBE
# total magnetization = 0.124 μB/atom
# space group = P4/mmm
data_BaMoAs2Se
_chemical_formula_sum 'Ba1 Mo1 As2 Se1'
_symmetry_space_group_name_H-M 'P 1'
_symmetry_Int_Tables_number 1
_cell_length_a 5.592
_cell_length_b 5.592
_cell_length_c 5.785
_cell_angle_alpha 90.00
_cell_angle_beta 90.00
_cell_angle_gamma 90.00
loop_
_symmetry_equiv_pos_as_xyz
'x,y,z'
loop_
_atom_site_label
_atom_site_type_symbol
_atom_site_fract_x
_atom_site_fract_y
_atom_site_fract_z
Ba1 Ba 0.000 0.000 0.000
Mo1 Mo 0.500 0.500 0.500
As1 As 0.000 0.500 0.000
As2 As 0.500 0.000 0.000
Se1 Se 0.000 0.000 0.500


Most stable structure, least stable structure: run i, run ii.


Run i
# Ba2AsN, relaxed, DFT GGA-PBE
# total magnetization = 0.500 μB/atom
# space group = I-42d
data_Ba2AsN
_chemical_formula_sum 'Ba4 As2 N2'
_symmetry_space_group_name_H-M 'P 1'
_symmetry_Int_Tables_number 1
_cell_length_a 7.021
_cell_length_b 7.021
_cell_length_c 7.021
_cell_angle_alpha 113.03
_cell_angle_beta 113.03
_cell_angle_gamma 102.56
loop_
_symmetry_equiv_pos_as_xyz
'x,y,z'
loop_
_atom_site_label
_atom_site_type_symbol
_atom_site_fract_x
_atom_site_fract_y
_atom_site_fract_z
Ba1 Ba 0.052 0.125 0.427
Ba2 Ba 0.375 0.948 0.073
Ba3 Ba 0.698 0.625 0.573
Ba4 Ba 0.875 0.302 0.927
As1 As 0.250 0.750 0.500
As2 As 0.500 0.500 0.000
N1 N 0.000 0.000 0.000
N2 N 0.750 0.250 0.500


Run ii
# Ba2AsN, relaxed, DFT GGA-PBE
# total magnetization = 0.500 μB/atom
# space group = Fm-3m
data_Ba2AsN
_chemical_formula_sum 'Ba2 As1 N1'
_symmetry_space_group_name_H-M 'P 1'
_symmetry_Int_Tables_number 1
_cell_length_a 5.444
_cell_length_b 5.444
_cell_length_c 5.444
_cell_angle_alpha 60.00
_cell_angle_beta 60.00
_cell_angle_gamma 60.00
loop_
_symmetry_equiv_pos_as_xyz
'x,y,z'
loop_
_atom_site_label
_atom_site_type_symbol
_atom_site_fract_x
_atom_site_fract_y
_atom_site_fract_z
Ba1 Ba 0.250 0.250 0.250
Ba2 Ba 0.750 0.750 0.750
As1 As 0.000 0.000 0.000
N1 N 0.500 0.500 0.500


Most stable structure, least stable structure: run i, run ii.


Run i
# Ba2AsRhN, relaxed, DFT GGA-PBE
# total magnetization = 0.000 μB/atom
# space group = P4/mmm
data_Ba2AsRhN
_chemical_formula_sum 'Ba2 As1 Rh1 N1'
_symmetry_space_group_name_H-M 'P 1'
_symmetry_Int_Tables_number 1
_cell_length_a 5.654
_cell_length_b 5.654
_cell_length_c 3.970
_cell_angle_alpha 90.00
_cell_angle_beta 90.00
_cell_angle_gamma 90.00
loop_
_symmetry_equiv_pos_as_xyz
'x,y,z'
loop_
_atom_site_label
_atom_site_type_symbol
_atom_site_fract_x
_atom_site_fract_y
_atom_site_fract_z
Ba1 Ba 0.000 0.500 0.000
Ba2 Ba 0.500 0.000 0.000
As1 As 0.000 0.000 0.500
Rh1 Rh 0.500 0.500 0.500
N1 N 0.000 0.000 0.000


Run ii
# Ba2AsRhN, relaxed, DFT GGA-PBE
# total magnetization = 0.000 μB/atom
# space group = P4/mmm
data_Ba2AsRhN
_chemical_formula_sum 'Ba2 As1 Rh1 N1'
_symmetry_space_group_name_H-M 'P 1'
_symmetry_Int_Tables_number 1
_cell_length_a 5.940
_cell_length_b 5.940
_cell_length_c 3.760
_cell_angle_alpha 90.00
_cell_angle_beta 90.00
_cell_angle_gamma 90.00
loop_
_symmetry_equiv_pos_as_xyz
'x,y,z'
loop_
_atom_site_label
_atom_site_type_symbol
_atom_site_fract_x
_atom_site_fract_y
_atom_site_fract_z
Ba1 Ba 0.000 0.500 0.000
Ba2 Ba 0.500 0.000 0.000
As1 As 0.000 0.000 0.500
Rh1 Rh 0.500 0.500 0.500
N1 N 0.500 0.500 0.000


Most stable structure, least stable structure: run ii, run i.


Run i
# BaAsSeN2, relaxed, DFT GGA-PBE
# total magnetization = 0.674 μB/atom
# space group = P4/mmm
data_BaAsSeN2
_chemical_formula_sum 'Ba1 As1 Se1 N2'
_symmetry_space_group_name_H-M 'P 1'
_symmetry_Int_Tables_number 1
_cell_length_a 4.281
_cell_length_b 4.281
_cell_length_c 6.406
_cell_angle_alpha 90.00
_cell_angle_beta 90.00
_cell_angle_gamma 90.00
loop_
_symmetry_equiv_pos_as_xyz
'x,y,z'
loop_
_atom_site_label
_atom_site_type_symbol
_atom_site_fract_x
_atom_site_fract_y
_atom_site_fract_z
Ba1 Ba 0.000 0.000 0.000
As1 As 0.500 0.500 0.000
Se1 Se 0.000 0.000 0.500
N1 N 0.000 0.500 0.500
N2 N 0.500 0.000 0.500


Run ii
# BaAsSeN2, relaxed, DFT GGA-PBE
# total magnetization = 0.416 μB/atom
# space group = P4/mmm
data_BaAsSeN2
_chemical_formula_sum 'Ba1 As1 Se1 N2'
_symmetry_space_group_name_H-M 'P 1'
_symmetry_Int_Tables_number 1
_cell_length_a 4.335
_cell_length_b 4.335
_cell_length_c 5.148
_cell_angle_alpha 90.00
_cell_angle_beta 90.00
_cell_angle_gamma 90.00
loop_
_symmetry_equiv_pos_as_xyz
'x,y,z'
loop_
_atom_site_label
_atom_site_type_symbol
_atom_site_fract_x
_atom_site_fract_y
_atom_site_fract_z
Ba1 Ba 0.000 0.000 0.000
As1 As 0.500 0.500 0.500
Se1 Se 0.500 0.500 0.000
N1 N 0.000 0.500 0.500
N2 N 0.500 0.000 0.500


Run iii
# BaAsSeN2, relaxed, DFT GGA-PBE
# total magnetization = 0.705 μB/atom
# space group = P4/mmm
data_BaAsSeN2
_chemical_formula_sum 'Ba1 As1 Se1 N2'
_symmetry_space_group_name_H-M 'P 1'
_symmetry_Int_Tables_number 1
_cell_length_a 4.522
_cell_length_b 4.522
_cell_length_c 6.925
_cell_angle_alpha 90.00
_cell_angle_beta 90.00
_cell_angle_gamma 90.00
loop_
_symmetry_equiv_pos_as_xyz
'x,y,z'
loop_
_atom_site_label
_atom_site_type_symbol
_atom_site_fract_x
_atom_site_fract_y
_atom_site_fract_z
Ba1 Ba 0.000 0.000 0.000
As1 As 0.500 0.500 0.500
Se1 Se 0.000 0.000 0.500
N1 N 0.000 0.500 0.000
N2 N 0.500 0.000 0.000


Most stable structure, least stable structure: run ii, run iii.